{"formula": "La7Pt3", "functional": "GGA-PBE", "state": "relaxed", "final_energy_ev_per_atom": -6.0518, "spacegroup": "P6_3mc", "total_magnetization_mub_per_cell": 0.01, "crystal_system": "hexagonal", "cell": [[10.345, 0.000, 0.000], [-5.173, 8.959, 0.000], [0.000, 0.000, 6.556]], "species": ["La", "La", "La", "La", "La", "La", "La", "La", "La", "La", "La", "La", "La", "La", "Pt", "Pt", "Pt", "Pt", "Pt", "Pt"], "fractional_positions": [[0.074, 0.537, 0.000], [0.126, 0.253, 0.306], [0.126, 0.874, 0.306], [0.253, 0.126, 0.806], [0.333, 0.667, 0.518], [0.463, 0.537, 0.000], [0.463, 0.926, 0.000], [0.537, 0.074, 0.500], [0.537, 0.463, 0.500], [0.667, 0.333, 0.018], [0.747, 0.874, 0.306], [0.874, 0.126, 0.806], [0.874, 0.747, 0.806], [0.926, 0.463, 0.500], [0.188, 0.377, 0.753], [0.188, 0.812, 0.753], [0.377, 0.188, 0.253], [0.623, 0.812, 0.753], [0.812, 0.188, 0.253], [0.812, 0.623, 0.253]]}

=====

{"formula": "La3Pt", "functional": "GGA-PBE", "state": "relaxed", "final_energy_ev_per_atom": -5.8543, "spacegroup": "Pnma", "total_magnetization_mub_per_cell": 0.01, "crystal_system": "orthorhombic", "cell": [[7.367, 0.000, 0.000], [0.000, 10.261, 0.000], [0.000, 0.000, 6.694]], "species": ["La", "La", "La", "La", "La", "La", "La", "La", "La", "La", "La", "La", "Pt", "Pt", "Pt", "Pt"], "fractional_positions": [[0.027, 0.250, 0.145], [0.174, 0.062, 0.669], [0.174, 0.438, 0.669], [0.326, 0.562, 0.169], [0.326, 0.938, 0.169], [0.473, 0.750, 0.645], [0.527, 0.250, 0.355], [0.674, 0.062, 0.831], [0.674, 0.438, 0.831], [0.826, 0.562, 0.331], [0.826, 0.938, 0.331], [0.973, 0.750, 0.855], [0.122, 0.750, 0.426], [0.378, 0.250, 0.926], [0.622, 0.750, 0.074], [0.878, 0.250, 0.574]]}

=====

{"formula": "La2Pt", "functional": "GGA-PBE", "state": "relaxed", "final_energy_ev_per_atom": -6.0177, "spacegroup": "Fm-3m", "total_magnetization_mub_per_cell": 0.00, "crystal_system": "cubic", "cell": [[0.000, 3.592, 3.592], [3.592, 0.000, 3.592], [3.592, 3.592, 0.000]], "species": ["La", "La", "Pt"], "fractional_positions": [[0.250, 0.250, 0.250], [0.750, 0.750, 0.750], [0.000, 0.000, 0.000]]}

=====

These records have energy relative to the elements values of -0.79; -0.65; -0.72 eV per atom, in the order they appear.